Entry 1:
A plane-wave DFT calculation with GGA-PBE was carried out for a relaxed structure of CePmNd2Er.

The structure in CIF format:
```
data_CePmNd2Er
_chemical_formula_sum 'Ce2 Pm2 Nd4 Er2'
_symmetry_space_group_name_H-M 'P 1'
_symmetry_Int_Tables_number 1
_cell_length_a 7.7029
_cell_length_b 7.1533
_cell_length_c 6.0794
_cell_angle_alpha 90.00
_cell_angle_beta 90.00
_cell_angle_gamma 90.00
loop_
_symmetry_equiv_pos_as_xyz
'x,y,z'
loop_
_atom_site_label
_atom_site_type_symbol
_atom_site_fract_x
_atom_site_fract_y
_atom_site_fract_z
Ce1 Ce 0.0000 0.0000 0.0000
Ce2 Ce 0.0000 0.0000 0.5000
Pm1 Pm 0.6280 0.0000 0.2500
Pm2 Pm 0.3720 0.0000 0.7500
Nd1 Nd 0.6836 0.7187 0.7500
Nd2 Nd 0.6836 0.2813 0.7500
Nd3 Nd 0.3164 0.7187 0.2500
Nd4 Nd 0.3164 0.2813 0.2500
Er1 Er 0.1371 0.5000 0.7500
Er2 Er 0.8629 0.5000 0.2500
```

Results
As for the formation energy: 135.1 kJ/mol of formula units. The calculation puts the total moment at 1.2 μB/f.u. The raw total energy comes out at -4.677 eV/atom.


Entry 2:
A plane-wave DFT calculation with GGA-PBE was carried out for a relaxed structure of CePrNdEr.

The structure in CIF format:
```
data_CePrNdEr
_chemical_formula_sum 'Ce1 Pr1 Nd1 Er1'
_symmetry_space_group_name_H-M 'P 1'
_symmetry_Int_Tables_number 1
_cell_length_a 5.7612
_cell_length_b 5.7612
_cell_length_c 5.7612
_cell_angle_alpha 60.00
_cell_angle_beta 60.00
_cell_angle_gamma 60.00
loop_
_symmetry_equiv_pos_as_xyz
'x,y,z'
loop_
_atom_site_label
_atom_site_type_symbol
_atom_site_fract_x
_atom_site_fract_y
_atom_site_fract_z
Pr1 Pr 0.7500 0.7500 0.7500
Nd1 Nd 0.2500 0.2500 0.2500
Ce1 Ce 0.5000 0.5000 0.5000
Er1 Er 0.0000 0.0000 0.0000
```

Results
As for the formation energy: 76.4 kJ/mol of formula units. The calculation puts the total moment at 3.2 μB/f.u. The raw total energy comes out at -4.813 eV/atom.


Entry 3:
A plane-wave DFT calculation with GGA-PBE was carried out for a relaxed structure of CePr6NdEr2.

The structure in CIF format:
```
data_CePr6NdEr2
_chemical_formula_sum 'Ce1 Pr6 Nd1 Er2'
_symmetry_space_group_name_H-M 'P 1'
_symmetry_Int_Tables_number 1
_cell_length_a 8.9701
_cell_length_b 7.0819
_cell_length_c 6.6752
_cell_angle_alpha 122.04
_cell_angle_beta 100.13
_cell_angle_gamma 90.00
loop_
_symmetry_equiv_pos_as_xyz
'x,y,z'
loop_
_atom_site_label
_atom_site_type_symbol
_atom_site_fract_x
_atom_site_fract_y
_atom_site_fract_z
Ce1 Ce 0.0000 0.5000 0.0000
Pr1 Pr 0.4206 0.6328 0.2656
Pr2 Pr 0.2010 0.0675 0.6655
Pr3 Pr 0.7990 0.4020 0.3345
Pr4 Pr 0.2010 0.5980 0.6655
Pr5 Pr 0.7990 0.9325 0.3345
Pr6 Pr 0.5794 0.3672 0.7345
Nd1 Nd 0.5000 0.0000 0.0000
Er1 Er 0.1550 0.0946 0.1892
Er2 Er 0.8450 0.9054 0.8108
```

Results
As for the formation energy: 221.9 kJ/mol of formula units. The calculation puts the total moment at 1.3 μB/f.u. The raw total energy comes out at -4.620 eV/atom.


Entry 4:
A plane-wave DFT calculation with GGA-PBE was carried out for a relaxed structure of Ce2PrNd3Er6.

The structure in CIF format:
```
data_Ce2PrNd3Er6
_chemical_formula_sum 'Ce2 Pr1 Nd3 Er6'
_symmetry_space_group_name_H-M 'P 1'
_symmetry_Int_Tables_number 1
_cell_length_a 6.1957
_cell_length_b 6.1957
_cell_length_c 11.7153
_cell_angle_alpha 95.06
_cell_angle_beta 95.06
_cell_angle_gamma 119.99
loop_
_symmetry_equiv_pos_as_xyz
'x,y,z'
loop_
_atom_site_label
_atom_site_type_symbol
_atom_site_fract_x
_atom_site_fract_y
_atom_site_fract_z
Ce1 Ce 0.3333 0.6667 0.0000
Ce2 Ce 0.6667 0.3333 0.0000
Pr1 Pr 0.0000 0.0000 0.0000
Nd1 Nd 0.1661 0.8339 0.5000
Nd2 Nd 0.8339 0.1661 0.5000
Nd3 Nd 0.5000 0.5000 0.5000
Er1 Er 0.9172 0.5814 0.7528
Er2 Er 0.7469 0.7469 0.2472
Er3 Er 0.0828 0.4186 0.2472
Er4 Er 0.5814 0.9172 0.7528
Er5 Er 0.2531 0.2531 0.7528
Er6 Er 0.4186 0.0828 0.2472
```

Results
As for the formation energy: 54.4 kJ/mol of formula units. The calculation puts the total moment at 1.9 μB/f.u. The raw total energy comes out at -4.814 eV/atom.


Entry 5:
A plane-wave DFT calculation with GGA-PBE was carried out for a relaxed structure of CeNd2ErPt2.

The structure in CIF format:
```
data_CeNd2ErPt2
_chemical_formula_sum 'Ce2 Nd4 Er2 Pt4'
_symmetry_space_group_name_H-M 'P 1'
_symmetry_Int_Tables_number 1
_cell_length_a 6.7841
_cell_length_b 6.8192
_cell_length_c 8.6069
_cell_angle_alpha 113.34
_cell_angle_beta 113.21
_cell_angle_gamma 90.00
loop_
_symmetry_equiv_pos_as_xyz
'x,y,z'
loop_
_atom_site_label
_atom_site_type_symbol
_atom_site_fract_x
_atom_site_fract_y
_atom_site_fract_z
Ce1 Ce 0.2500 0.0000 0.0000
Ce2 Ce 0.7500 0.0000 0.0000
Nd1 Nd 0.6898 0.9463 0.3797
Nd2 Nd 0.1898 0.4334 0.3797
Nd3 Nd 0.8102 0.5666 0.6203
Nd4 Nd 0.3102 0.0537 0.6203
Er1 Er 0.7500 0.5000 0.0000
Er2 Er 0.2500 0.5000 0.0000
Pt1 Pt 0.3883 0.6376 0.7767
Pt2 Pt 0.6117 0.3624 0.2233
Pt3 Pt 0.1117 0.8609 0.2233
Pt4 Pt 0.8883 0.1391 0.7767
```

Results
As for the formation energy: -445.5 kJ/mol of formula units. The calculation puts the total moment at 0.4 μB/f.u. The raw total energy comes out at -6.122 eV/atom.


Entry 6:
A plane-wave DFT calculation with GGA-PBE was carried out for a relaxed structure of CeNd2Er3S6.

The structure in CIF format:
```
data_CeNd2Er3S6
_chemical_formula_sum 'Ce1 Nd2 Er3 S6'
_symmetry_space_group_name_H-M 'P 1'
_symmetry_Int_Tables_number 1
_cell_length_a 3.9158
_cell_length_b 8.0237
_cell_length_c 8.9033
_cell_angle_alpha 104.39
_cell_angle_beta 102.70
_cell_angle_gamma 90.00
loop_
_symmetry_equiv_pos_as_xyz
'x,y,z'
loop_
_atom_site_label
_atom_site_type_symbol
_atom_site_fract_x
_atom_site_fract_y
_atom_site_fract_z
Ce1 Ce 0.5000 0.0000 0.0000
Nd1 Nd 0.8341 0.6684 0.6683
Nd2 Nd 0.1659 0.3316 0.3317
Er1 Er 0.5000 0.5000 0.0000
Er2 Er 0.8330 0.1649 0.6660
Er3 Er 0.1670 0.8351 0.3340
S1 S 0.3296 0.9274 0.6592
S2 S 0.6628 0.5948 0.3256
S3 S 0.6704 0.0726 0.3408
S4 S 0.9955 0.2590 0.9910
S5 S 0.0045 0.7410 0.0090
S6 S 0.3372 0.4052 0.6744
```

Results
The calculation puts the total moment at 1.0 μB/f.u. The raw total energy comes out at -6.496 eV/atom. The value obtained for the uncorrected formation energy is -2.003 eV/atom.


Entry 7:
A plane-wave DFT calculation with GGA-PBE was carried out for a relaxed structure of Ce3Nd4ErS8.

The structure in CIF format:
```
data_Ce3Nd4ErS8
_chemical_formula_sum 'Ce3 Nd4 Er1 S8'
_symmetry_space_group_name_H-M 'P 1'
_symmetry_Int_Tables_number 1
_cell_length_a 8.0600
_cell_length_b 8.0501
_cell_length_c 8.0570
_cell_angle_alpha 120.01
_cell_angle_beta 120.01
_cell_angle_gamma 90.00
loop_
_symmetry_equiv_pos_as_xyz
'x,y,z'
loop_
_atom_site_label
_atom_site_type_symbol
_atom_site_fract_x
_atom_site_fract_y
_atom_site_fract_z
Ce1 Ce 0.5000 0.5000 0.0000
Ce2 Ce 0.5000 0.5000 0.5000
Ce3 Ce 0.0000 0.5000 0.5000
Nd1 Nd 0.5000 0.0000 0.0000
Nd2 Nd 0.5000 0.0000 0.5000
Nd3 Nd 0.0000 0.0000 0.0000
Nd4 Nd 0.0000 0.0000 0.5000
Er1 Er 0.0000 0.5000 0.0000
S1 S 0.2435 0.7408 0.9974
S2 S 0.2435 0.7409 0.4870
S3 S 0.2511 0.2534 0.5022
S4 S 0.7539 0.7408 0.9974
S5 S 0.2461 0.2592 0.0026
S6 S 0.7489 0.7466 0.4978
S7 S 0.7565 0.2591 0.5130
S8 S 0.7565 0.2592 0.0026
```

Results
The calculation puts the total moment at 2.0 μB/f.u. The raw total energy comes out at -6.680 eV/atom. The value obtained for the uncorrected formation energy is -2.027 eV/atom.


Entry 8:
A plane-wave DFT calculation with GGA-PBE was carried out for a relaxed structure of Ce2NdErS5.

The structure in CIF format:
```
data_Ce2NdErS5
_chemical_formula_sum 'Ce2 Nd1 Er1 S5'
_symmetry_space_group_name_H-M 'P 1'
_symmetry_Int_Tables_number 1
_cell_length_a 4.8624
_cell_length_b 4.8624
_cell_length_c 10.5162
_cell_angle_alpha 90.00
_cell_angle_beta 90.00
_cell_angle_gamma 90.00
loop_
_symmetry_equiv_pos_as_xyz
'x,y,z'
loop_
_atom_site_label
_atom_site_type_symbol
_atom_site_fract_x
_atom_site_fract_y
_atom_site_fract_z
Ce1 Ce 0.5000 0.5000 0.3065
Ce2 Ce 0.5000 0.5000 0.6935
Nd1 Nd 0.0000 0.0000 0.0000
Er1 Er 0.0000 0.0000 0.5000
S1 S 0.0000 0.5000 0.5000
S2 S 0.5000 0.0000 0.5000
S3 S 0.0000 0.0000 0.7495
S4 S 0.0000 0.0000 0.2505
S5 S 0.5000 0.5000 0.0000
```

Results
The calculation puts the total moment at 3.3 μB/f.u. The raw total energy comes out at -6.170 eV/atom. The value obtained for the uncorrected formation energy is -1.522 eV/atom.


Entry 9:
A plane-wave DFT calculation with GGA-PBE was carried out for a relaxed structure of CeNd2ErS4.

The structure in CIF format:
```
data_CeNd2ErS4
_chemical_formula_sum 'Ce1 Nd2 Er1 S4'
_symmetry_space_group_name_H-M 'P 1'
_symmetry_Int_Tables_number 1
_cell_length_a 3.9845
_cell_length_b 6.9644
_cell_length_c 6.9458
_cell_angle_alpha 109.17
_cell_angle_beta 90.00
_cell_angle_gamma 90.00
loop_
_symmetry_equiv_pos_as_xyz
'x,y,z'
loop_
_atom_site_label
_atom_site_type_symbol
_atom_site_fract_x
_atom_site_fract_y
_atom_site_fract_z
Ce1 Ce 0.5000 0.5000 0.0000
Nd1 Nd 0.5000 0.0000 0.5000
Nd2 Nd 0.0000 0.5000 0.5000
Er1 Er 0.0000 0.0000 0.0000
S1 S 0.5000 0.2384 0.2355
S2 S 0.5000 0.7616 0.7645
S3 S 0.0000 0.2460 0.7592
S4 S 0.0000 0.7540 0.2408
```

Results
The calculation puts the total moment at 0.7 μB/f.u. The raw total energy comes out at -6.584 eV/atom. The value obtained for the uncorrected formation energy is -2.016 eV/atom.


Entry 10:
A plane-wave DFT calculation with GGA-PBE was carried out for a relaxed structure of Ce4Nd3ErS8.

The structure in CIF format:
```
data_Ce4Nd3ErS8
_chemical_formula_sum 'Ce4 Nd3 Er1 S8'
_symmetry_space_group_name_H-M 'P 1'
_symmetry_Int_Tables_number 1
_cell_length_a 8.0470
_cell_length_b 8.0500
_cell_length_c 8.0468
_cell_angle_alpha 119.99
_cell_angle_beta 120.00
_cell_angle_gamma 90.00
loop_
_symmetry_equiv_pos_as_xyz
'x,y,z'
loop_
_atom_site_label
_atom_site_type_symbol
_atom_site_fract_x
_atom_site_fract_y
_atom_site_fract_z
Ce1 Ce 0.5000 0.0000 0.0000
Ce2 Ce 0.5000 0.0000 0.5000
Ce3 Ce 0.0000 0.0000 0.0000
Ce4 Ce 0.0000 0.0000 0.5000
Nd1 Nd 0.5000 0.5000 0.0000
Nd2 Nd 0.5000 0.5000 0.5000
Nd3 Nd 0.0000 0.5000 0.5000
Er1 Er 0.0000 0.5000 0.0000
S1 S 0.2443 0.7464 0.0022
S2 S 0.2443 0.7464 0.4886
S3 S 0.2489 0.2467 0.4978
S4 S 0.7579 0.7464 0.0022
S5 S 0.2421 0.2536 0.9978
S6 S 0.7511 0.7533 0.5022
S7 S 0.7557 0.2536 0.5114
S8 S 0.7557 0.2536 0.9978
```

Results
The calculation puts the total moment at 3.0 μB/f.u. The raw total energy comes out at -6.753 eV/atom. The value obtained for the uncorrected formation energy is -2.027 eV/atom.